Crystalline Re3MoO at its relaxed geometry, computed with PBE with a Hubbard U.

a b c (Å): 4.7178 4.7178 4.7178
angles (deg): 90.00 90.00 90.00
Atoms (fractional coordinates):
Re 0.0000 0.0000 0.5000
Re 0.0000 0.5000 0.0000
Re 0.5000 0.0000 0.0000
Mo 0.0000 0.0000 0.0000
O 0.5000 0.5000 0.5000

Summary:
VASP energy (eV/atom): -6.621
Symmetry: Pm-3m
DOS(E_F) (states/eV per cell): 11.6